Entry 1:
This record from Alexandria via LeMat-Bulk describes a relaxed structure of Au4I. The functional is GGA-PBE.

Unit cell a=5.348 b=5.348 c=5.348 alpha=90.00 beta=90.00 gamma=90.00
Element x y z (fractional)
I 0.500 0.500 0.500
Au 0.000 0.000 0.000
Au 0.500 0.000 0.500
Au 0.000 0.500 0.500
Au 0.500 0.500 0.000

Properties
size of the total moment	0.0	μB/cell
formation energy without anion corrections	1063	meV per atom

***

Entry 2:
This record from Alexandria via LeMat-Bulk describes a relaxed structure of Ni2SbOs. The functional is GGA-PBE.

Unit cell a=3.850 b=3.850 c=3.787 alpha=90.00 beta=90.00 gamma=90.00
Element x y z (fractional)
Ni 0.000 0.000 0.000
Ni 0.500 0.500 0.000
Os 0.500 0.000 0.500
Sb 0.000 0.500 0.500

Properties
size of the total moment	0.0	μB/cell
formation energy without anion corrections	182	meV per atom

***

Entry 3:
This record from Alexandria via LeMat-Bulk describes a relaxed structure of Ba12NaCd6. The functional is GGA-PBE.

Unit cell a=10.642 b=10.642 c=10.642 alpha=110.11 beta=110.11 gamma=110.11
Element x y z (fractional)
Ba 0.828 0.622 0.516
Ba 0.516 0.828 0.622
Ba 0.622 0.516 0.828
Ba 0.172 0.378 0.484
Ba 0.484 0.172 0.378
Ba 0.378 0.484 0.172
Ba 0.948 0.843 0.295
Ba 0.157 0.705 0.052
Ba 0.705 0.052 0.157
Ba 0.052 0.157 0.705
Ba 0.843 0.295 0.948
Ba 0.295 0.948 0.843
Na 0.000 0.000 0.000
Cd 0.656 0.894 0.380
Cd 0.620 0.344 0.106
Cd 0.106 0.620 0.344
Cd 0.344 0.106 0.620
Cd 0.380 0.656 0.894
Cd 0.894 0.380 0.656

Properties
size of the total moment	0.0	μB/cell
formation enthalpy at 0 K	-0.09	eV/atom